First-principles (GGA+U) data for a relaxed Ni2IF crystal, as listed in Alexandria.

abc: 6.3431 6.3431 7.1387
angles: 90.00 90.00 90.00
Space group I-42d (No. 122)
Inequivalent atoms, fractional coordinates:
1 Ni 0.1895 0.2500 0.1250 x8
2 I 0.0000 0.0000 0.5000 x4
3 F 0.0000 0.0000 0.0000 x4

Properties
* theoretical density: 6.09 g cm⁻³
* VASP energy: -2.461 eV/atom
* total magnetization: 2.00 μB/f.u.